(1)
Density functional theory data (PBE) for a relaxed structure of LiMg3Cu8.

The structure belongs to space group R3m (No. 160, hexagonal axes); the cell edges are 4.9697, 4.9697 and 24.1966 Å and the angles 90.00°, 90.00° and 120.00°. The inequivalent atoms are Li at (0.0000, 0.0000, 0.0000), Mg at (0.0000, 0.0000, 0.3721), Mg at (0.0000, 0.0000, 0.4985), Mg at (0.0000, 0.0000, 0.8755), Cu at (0.0000, 0.0000, 0.1865), Cu at (0.0000, 0.0000, 0.6865), Cu at (0.0005, 0.5003, 0.4367) and Cu at (0.1670, 0.3340, 0.2698).

Its volume is 14.38 A^3/atom. The value obtained for the formation energy is -120.7 meV per atom. For the size of the total moment, the calculation gives 0.0000 μB per atom.

(2)
Density functional theory data (PBE) for a relaxed structure of Li3MgCu8.

The structure belongs to space group R3m (No. 160, hexagonal axes); the cell edges are 4.8794, 4.8794 and 24.4295 Å and the angles 90.00°, 90.00° and 120.00°. The inequivalent atoms are Li at (0.0000, 0.0000, 0.0000), Li at (0.0000, 0.0000, 0.1223), Li at (0.0000, 0.0000, 0.6274), Mg at (0.0000, 0.0000, 0.4994), Cu at (0.0000, 0.0000, 0.3127), Cu at (0.0000, 0.0000, 0.8125), Cu at (0.0005, 0.5002, 0.0626) and Cu at (0.1669, 0.3339, 0.8960).

Its volume is 13.99 A^3/atom. The value obtained for the formation energy is -92.1 meV per atom. For the size of the total moment, the calculation gives 0.0000 μB per atom.

(3)
Density functional theory data (PBE) for a relaxed structure of Li2MgCu2.

The structure belongs to space group R-3m (No. 166, hexagonal axes); the cell edges are 4.3165, 4.3165 and 13.3257 Å and the angles 90.00°, 90.00° and 120.00°. The inequivalent atoms are Li at (0.0000, 0.0000, 0.0902), Mg at (0.0000, 0.0000, 0.5000) and Cu at (0.0000, 0.0000, 0.3007).

Its volume is 14.33 A^3/atom. The calculation puts the energy above the most stable polymorph in this dataset at 0.008 eV/atom. The value obtained for the formation energy is -39.2 meV per atom. For the size of the total moment, the calculation gives 0.0000 μB per atom.

(4)
Density functional theory data (PBE) for a relaxed structure of LiMg4Cu3.

The structure belongs to space group Pmmm (No. 47); the cell edges are 3.231, 4.491 and 8.996 Å and the angles 90.00°, 90.00° and 90.00°. The inequivalent atoms are Li at (0.000, 0.000, 0.000), Mg at (0.500, 0.000, 0.260), Mg at (0.500, 0.500, 0.000), Mg at (0.500, 0.500, 0.500), Cu at (0.000, 0.000, 0.500) and Cu at (0.000, 0.500, 0.248).

Its volume is 16.32 A^3/atom. The value obtained for the formation energy is -84.2 meV per atom. For the size of the total moment, the calculation gives 0.0000 μB per atom.

(5)
Density functional theory data (PBE) for a relaxed structure of Li3MgCu.

The structure belongs to space group Pm-3m (No. 221); the cell edges are 4.653, 4.653 and 4.653 Å and the angles 90.00°, 90.00° and 90.00°. The inequivalent atoms are Li at (0.000, 0.000, 0.500), Mg at (0.500, 0.500, 0.500) and Cu at (0.000, 0.000, 0.000).

Its volume is 20.15 A^3/atom. The calculation puts the energy above the most stable polymorph in this dataset at 0.165 eV/atom. The value obtained for the formation energy is 195.7 meV per atom. For the size of the total moment, the calculation gives 0.0000 μB per atom.

(6)
Density functional theory data (PBE) for a relaxed structure of LiMgCu.

The structure belongs to space group R3m (No. 160, hexagonal axes); the cell edges are 4.7326, 4.7326 and 7.8660 Å and the angles 90.00°, 90.00° and 120.00°. The inequivalent atoms are Li at (0.0000, 0.0000, 0.0000), Mg at (0.0000, 0.0000, 0.6348) and Cu at (0.0000, 0.0000, 0.3070).

Its volume is 16.95 A^3/atom. The calculation puts the energy above the most stable polymorph in this dataset at 0.159 eV/atom. The value obtained for the formation energy is 96.2 meV per atom. For the size of the total moment, the calculation gives 0.0000 μB per atom.

(7)
Density functional theory data (PBE) for a relaxed structure of Li3Mg4Cu.

The structure belongs to space group P4/mmm (No. 123); the cell edges are 3.305, 3.305 and 13.731 Å and the angles 90.00°, 90.00° and 90.00°. The inequivalent atoms are Li at (0.000, 0.000, 0.000), Li at (0.000, 0.000, 0.263), Mg at (0.500, 0.500, 0.131), Mg at (0.500, 0.500, 0.392) and Cu at (0.000, 0.000, 0.500).

Its volume is 18.75 A^3/atom. The value obtained for the formation energy is -70.1 meV per atom. For the size of the total moment, the calculation gives 0.0000 μB per atom.

(8)
Density functional theory data (PBE) for a relaxed structure of Li9MgCu2.

The structure belongs to space group P6/mmm (No. 191); the cell edges are 8.9447, 8.9447 and 2.9922 Å and the angles 90.00°, 90.00° and 120.00°. The inequivalent atoms are Li at (0.0000, 0.5000, 0.0000), Li at (0.1862, 0.3724, 0.5000), Mg at (0.0000, 0.0000, 0.0000) and Cu at (0.3333, 0.6667, 0.0000).

Its volume is 17.28 A^3/atom. The value obtained for the formation energy is 28.2 meV per atom. For the size of the total moment, the calculation gives 0.0000 μB per atom.

(9)
Density functional theory data (PBE) for a relaxed structure of Li2MgCuN.

The structure belongs to space group P4/mmm (No. 123); the cell edges are 4.040, 4.040 and 4.109 Å and the angles 90.00°, 90.00° and 90.00°. The inequivalent atoms are Li at (0.000, 0.500, 0.000), Mg at (0.000, 0.000, 0.500), Cu at (0.500, 0.500, 0.500) and N at (0.000, 0.000, 0.000).

Its volume is 13.41 A^3/atom. The calculation puts the raw formation energy at -0.178 eV/atom. For the size of the total moment, the calculation gives 0.0000 μB per atom.

(10)
Density functional theory data (PBE) for a relaxed structure of NaLiMg2Cu.

The structure belongs to space group P4/mmm (No. 123); the cell edges are 5.002, 5.002 and 4.932 Å and the angles 90.00°, 90.00° and 90.00°. The inequivalent atoms are Na at (0.000, 0.000, 0.000), Li at (0.500, 0.500, 0.000), Mg at (0.000, 0.500, 0.500) and Cu at (0.500, 0.500, 0.500).

Its volume is 24.68 A^3/atom. The value obtained for the formation energy is 109.8 meV per atom. For the size of the total moment, the calculation gives 0.0000 μB per atom.

(11)
Density functional theory data (PBE) for a relaxed structure of NaLiMgCu2.

The structure belongs to space group P4/mmm (No. 123); the cell edges are 4.844, 4.844 and 5.066 Å and the angles 90.00°, 90.00° and 90.00°. The inequivalent atoms are Na at (0.000, 0.000, 0.000), Li at (0.500, 0.500, 0.000), Mg at (0.500, 0.500, 0.500) and Cu at (0.000, 0.500, 0.500).

Its volume is 23.78 A^3/atom. The value obtained for the formation energy is 513.1 meV per atom. For the size of the total moment, the calculation gives 0.0000 μB per atom.

(12)
Density functional theory data (PBE) for a relaxed structure of LiMgNbCu2.

The structure belongs to space group P4/mmm (No. 123); the cell edges are 4.236, 4.236 and 4.538 Å and the angles 90.00°, 90.00° and 90.00°. The inequivalent atoms are Li at (0.000, 0.000, 0.000), Mg at (0.500, 0.500, 0.500), Nb at (0.000, 0.000, 0.500) and Cu at (0.000, 0.500, 0.000).

Its volume is 16.29 A^3/atom. The calculation puts the energy above the most stable polymorph in this dataset at 0.000 eV/atom. The value obtained for the formation energy is 779.3 meV per atom. For the size of the total moment, the calculation gives 0.3609 μB per atom.